# TlPHO2 PBE optimized geometry
# Magnetic moment in μB per formula unit: 0.000
# Polymorph energy (0 for the lowest one) in eV per atom: 0.000
# D(E_F) in states/eV/f.u.: 1.8
data_TlPHO2
_chemical_formula_sum 'Tl1 P1 H1 O2'
_cell_length_a 3.402
_cell_length_b 3.402
_cell_length_c 5.670
_cell_angle_alpha 90.00
_cell_angle_beta 90.00
_cell_angle_gamma 90.00
_space_group_name_H-M_alt 'P 4/m m m'
_space_group_IT_number 123
_space_group_name_Hall '-P 4 2'
loop_
_atom_site_label
_atom_site_type_symbol
_atom_site_fract_x
_atom_site_fract_y
_atom_site_fract_z
_atom_site_occupancy
Tl1 Tl 0.000 0.000 0.000 1
P1 P 0.000 0.000 0.500 1
H1 H 0.500 0.500 0.000 1
O1 O 0.000 0.500 0.500 1